K2HgBr | meta-GGA SCAN | PBEsol geometry

The structure in POSCAR format:
```
K2HgBr
1.0
4.030 0.000 0.000
0.000 5.723 0.000
0.000 0.000 5.715
K Hg Br
2 1 1
direct
0.000 0.000 0.000
0.000 0.500 0.499
0.500 0.500 0.999
0.500 0.000 0.500
```

Properties
Magnetization in μB per formula unit: 0.00
Formation energy from raw total energies in kJ/mol of formula units: -382
Space group: No. 25
Polymorph energy (0 for the lowest one) in eV/atom: 0.0667
Density of states at the Fermi level in states/eV/cell: 1.3
Total DFT energy (no corrections) in eV/atom: -27.059
Density in kg/m3: 4518